[1]
Computed, not measured: an optimized crystal structure of Y2BeRh at the GGA-PBE level of DFT.

- D(E_F) (states/eV/cell) = 5.75
- formation enthalpy at 0 K (eV/atom) = -0.47
- magnetic moment (μB per formula unit) = 0.0

Cell lengths 5.6201, 3.9757, 8.0383 Å; angles 90.00, 108.61, 90.00 degrees
With the nearest neighbours (Å) after each atom.
Space group P2_1/m (No. 11)
One atom of each set of equivalent atoms:
Y (0.2135, 0.2500, 0.4287) [2 per cell]  3 Be 2.91-3.00, 4 Rh 2.98-3.08
Y (0.2870, 0.7500, 0.0699) [2 per cell]  4 Be 2.93-3.15, 3 Rh 2.93-2.97
Be (0.1647, 0.2500, 0.7778) [2 per cell]  2 Rh 2.35
Rh (0.3464, 0.7500, 0.7208) [2 per cell]  2 Be 2.35


[2]
Computed, not measured: an optimized crystal structure of YBe9Rh2 at the GGA-PBE level of DFT.

- D(E_F) (states/eV/cell) = 11.04
- formation enthalpy at 0 K (eV/atom) = -0.34
- magnetic moment (μB per formula unit) = 0.0

Cell lengths 4.4750, 4.4750, 14.2815 Å; angles 90.00, 90.00, 120.00 degrees
With the nearest neighbours (Å) after each atom.
Space group P6_3/mmc (No. 194)
One atom of each set of equivalent atoms:
Y (0.3333, 0.6667, 0.2500) [2 per cell]  6 Be 2.58
Be (0.0000, 0.0000, 0.0000) [2 per cell]  6 Be 2.12
Be (0.0000, 0.0000, 0.2500) [2 per cell]  9 Be 2.32-2.58, 3 Y 2.58
Be (0.1699, 0.3397, 0.6164) [12 per cell]  7 Be 2.12-2.32
Be (0.3333, 0.6667, 0.7500) [2 per cell]  6 Be 2.29
Rh (0.3333, 0.6667, 0.0399) [4 per cell]  12 Be 2.49-2.65


[3]
Computed, not measured: an optimized crystal structure of Y2BeRh at the GGA-PBE level of DFT.

- D(E_F) (states/eV/cell) = 5.48
- formation enthalpy at 0 K (eV/atom) = -0.10
- magnetic moment (μB per formula unit) = 0.0

Cell lengths 3.8150, 3.8150, 22.0284 Å; angles 90.00, 90.00, 120.00 degrees
With the nearest neighbours (Å) after each atom.
Space group R-3m (No. 166, hexagonal axes)
One atom of each set of equivalent atoms:
Y (0.0000, 0.0000, 0.2440) [6 per cell]  3 Rh 2.78, 3 Be 2.95
Be (0.0000, 0.0000, 0.0000) [3 per cell]  6 Y 2.95
Rh (0.0000, 0.0000, 0.5000) [3 per cell]  6 Y 2.78


[4]
Computed, not measured: an optimized crystal structure of YBeRh at the GGA-PBE level of DFT.

- D(E_F) (states/eV/cell) = 3.38
- formation enthalpy at 0 K (eV/atom) = -0.62
- magnetic moment (μB per formula unit) = 0.0
- energy above the lowest structure with this stoichiometry (meV/atom) = 0

Cell lengths 3.9461, 3.9461, 7.8776 Å; angles 90.00, 90.00, 120.00 degrees
With the nearest neighbours (Å) after each atom.
Space group P6_3/mmc (No. 194)
One atom of each set of equivalent atoms:
Y (0.0000, 0.0000, 0.0000) [2 per cell]  6 Be 3.01, 6 Rh 3.01
Be (0.3333, 0.6667, 0.2500) [2 per cell]  3 Rh 2.28
Rh (0.3333, 0.6667, 0.7500) [2 per cell]  3 Be 2.28


[5]
Computed, not measured: an optimized crystal structure of YBe2Rh at the GGA-PBE level of DFT.

- D(E_F) (states/eV/cell) = 2.34
- formation enthalpy at 0 K (eV/atom) = -0.08
- magnetic moment (μB per formula unit) = 0.0
- energy above the lowest structure with this stoichiometry (meV/atom) = 393

Cell lengths 3.3493, 4.6794, 7.7719 Å; angles 90.00, 90.00, 90.00 degrees
With the nearest neighbours (Å) after each atom.
Space group Imm2 (No. 44)
One atom of each set of equivalent atoms:
Y (0.0000, 0.0000, 0.0000) [2 per cell]  8 Be 2.80-2.88, 4 Rh 2.83-2.84
Be (0.0000, 0.0000, 0.4821) [2 per cell]  2 Be 2.19, 2 Rh 2.40
Be (0.0000, 0.5000, 0.8011) [2 per cell]  2 Be 2.19
Rh (0.0000, 0.5000, 0.2042) [2 per cell]  2 Be 2.40


[6]
Computed, not measured: an optimized crystal structure of YBeRh at the GGA-PBE level of DFT.

- D(E_F) (states/eV/cell) = 7.85
- formation enthalpy at 0 K (eV/atom) = -0.21
- magnetic moment (μB per formula unit) = 0.0
- energy above the lowest structure with this stoichiometry (meV/atom) = 408

Cell lengths 6.0062, 6.0062, 6.0062 Å; angles 90.00, 90.00, 90.00 degrees
With the nearest neighbours (Å) after each atom.
Space group F-43m (No. 216)
One atom of each set of equivalent atoms:
Y (0.0000, 0.0000, 0.0000) [4 per cell]  4 Be 2.60
Be (0.2500, 0.2500, 0.7500) [4 per cell]  4 Rh 2.60, 4 Y 2.60
Rh (0.0000, 0.0000, 0.5000) [4 per cell]  4 Be 2.60


[7]
Computed, not measured: an optimized crystal structure of YBeRh2 at the GGA-PBE level of DFT.

- D(E_F) (states/eV/cell) = 13.07
- formation enthalpy at 0 K (eV/atom) = -0.19
- magnetic moment (μB per formula unit) = 0.0

Cell lengths 4.5620, 4.5620, 14.9223 Å; angles 90.00, 90.00, 90.00 degrees
With the nearest neighbours (Å) after each atom.
Space group I-42d (No. 122)
One atom of each set of equivalent atoms:
Y (0.0000, 0.0000, 0.0000) [4 per cell]  4 Rh 2.83
Be (0.0000, 0.0000, 0.5000) [4 per cell]  4 Rh 2.24
Rh (0.1060, 0.2500, 0.6250) [8 per cell]  2 Be 2.24, 2 Rh 2.48


[8]
Computed, not measured: an optimized crystal structure of YBeRh2 at the GGA-PBE level of DFT.

- D(E_F) (states/eV/cell) = 10.61
- formation enthalpy at 0 K (eV/atom) = -0.33
- magnetic moment (μB per formula unit) = 0.0

Cell lengths 3.8197, 3.8197, 8.7355 Å; angles 90.00, 90.00, 90.00 degrees
With the nearest neighbours (Å) after each atom.
Space group I-4m2 (No. 119)
One atom of each set of equivalent atoms:
Y (0.0000, 0.0000, 0.0000) [2 per cell]  8 Rh 2.70-2.90, 4 Be 2.90
Be (0.0000, 0.5000, 0.7500) [2 per cell]  8 Rh 2.70-2.90, 4 Y 2.90
Rh (0.0000, 0.0000, 0.5000) [2 per cell]  4 Y 2.70, 4 Be 2.90, 4 Rh 2.90
Rh (0.0000, 0.5000, 0.2500) [2 per cell]  4 Be 2.70, 4 Rh 2.90, 4 Y 2.90